## KLuHgS3 (PBE)

Data for an optimized crystal structure of KLuHgS3.

Cell and atoms, written as POSCAR:
```
KLuHgS3
1.0
2.0271 -7.2777 0.0000
2.0271 7.2777 0.0000
0.0000 0.0000 10.5766
S Hg Lu K
6 2 2 2
Cartesian
2.0271 -6.3990 2.6442
2.0271 6.3990 7.9325
2.0271 1.8006 10.2051
2.0271 -1.8006 0.3715
2.0271 -1.8006 4.9168
2.0271 1.8006 5.6599
2.0271 0.8498 7.9325
2.0271 -0.8498 2.6442
0.0000 0.0000 5.2883
0.0000 0.0000 0.0000
2.0271 -3.3970 7.9325
2.0271 3.3970 2.6442
```

Properties
final energy = -51.4 eV for the cell shown
crystal system = orthorhombic
excess energy over the best structure of this formula in the dataset = 0 meV per atom


## KLuHgTe3 (PBE)

Data for an optimized crystal structure of KLuHgTe3.

Cell and atoms, written as POSCAR:
```
KLuHgTe3
1.0
9.0494 0.0000 0.0000
0.0000 4.4427 0.0000
-3.5055 0.0000 10.5897
Te K Hg Lu
6 2 2 2
Cartesian
1.5189 3.3320 6.7253
4.0250 1.1107 3.8644
-0.7800 1.1107 3.7698
6.3239 3.3320 6.8199
-1.1087 1.1107 9.9457
6.6526 3.3320 0.6440
1.5626 3.3320 2.3220
3.9813 1.1107 8.2677
4.8426 1.1107 1.1967
0.7014 3.3320 9.3930
-0.6440 1.1107 6.7616
6.1879 3.3320 3.8282
```

Properties
final energy = -41.6 eV for the cell shown
crystal system = monoclinic